An optimized crystal structure of LuScB2O6, computed with PBE.

Values from the calculation:
**D(E_F)**: 0.0 states/eV per cell
**Total energy**: -8.480 eV/atom
**ΔE_f (raw)**: -3085 meV/atom

Cell lengths 4.8613, 4.8613, 15.8398 Å; angles 90.00, 90.00, 120.00 degrees
With the nearest neighbours (Å) after each atom.
Space group R-3 (No. 148, hexagonal axes)
One atom of each set of equivalent atoms:
Lu: 0.0000 0.0000 0.0000 x3  6 O 2.24
Sc: 0.0000 0.0000 0.5000 x3  6 O 2.14
B: 0.0000 0.0000 0.2470 x6  3 O 1.39
O: 0.0109 0.2907 0.2479 x18  1 B 1.39